(1)
The following is a PBE-GGA calculation of crystalline Sc5In2Ir2Rh at its relaxed geometry, from Alexandria.

a b c (Å): 3.337 11.066 11.066
angles (deg): 90.00 90.00 90.00
Atoms (fractional coordinates):
Ir 0.000 0.136 0.636
Ir 0.000 0.364 0.136
Ir 0.000 0.636 0.864
Ir 0.000 0.864 0.364
In 0.000 0.673 0.173
In 0.000 0.827 0.673
In 0.000 0.327 0.827
In 0.000 0.173 0.327
Sc 0.500 0.693 0.431
Sc 0.500 0.431 0.307
Sc 0.500 0.569 0.693
Sc 0.500 0.931 0.193
Sc 0.500 0.069 0.807
Sc 0.500 0.807 0.931
Sc 0.500 0.500 0.000
Sc 0.500 0.193 0.069
Sc 0.500 0.000 0.500
Sc 0.500 0.307 0.569
Rh 0.000 0.000 0.000
Rh 0.000 0.500 0.500

As for the energy relative to the elements: -0.69 eV/atom. As for the total energy: -6.9096 eV/atom. The calculation puts the total magnetization at 0.0 μB per formula unit.

---

(2)
The following is a PBE-GGA calculation of crystalline Pm3Al4Au2 at its relaxed geometry, from Alexandria.

a b c (Å): 4.556 5.916 8.773
angles (deg): 106.88 90.00 112.65
Atoms (fractional coordinates):
Pm 0.637 0.273 0.687
Pm 0.000 0.000 0.000
Pm 0.363 0.727 0.313
Al 0.095 0.189 0.419
Al 0.275 0.549 0.935
Al 0.725 0.451 0.065
Al 0.905 0.811 0.581
Au 0.345 0.691 0.682
Au 0.655 0.309 0.318

As for the energy relative to the elements: -0.62 eV/atom. As for the total energy: -4.5985 eV/atom. The calculation puts the total magnetization at 0.0 μB per formula unit.

---

(3)
The following is a PBE-GGA calculation of crystalline Ho3CoTe at its relaxed geometry, from Alexandria.

a b c (Å): 4.023 8.361 8.177
angles (deg): 90.00 104.24 90.00
Atoms (fractional coordinates):
Ho 0.575 0.226 0.150
Ho 0.272 0.147 0.545
Ho 0.894 0.393 0.789
Ho 0.425 0.726 0.850
Ho 0.728 0.647 0.455
Ho 0.106 0.893 0.211
Te 0.076 0.529 0.153
Te 0.924 0.029 0.847
Co 0.310 0.499 0.621
Co 0.690 0.999 0.379

As for the total energy: -5.2827 eV/atom. The calculation puts the total magnetization at 0.0 μB per formula unit. The calculation puts the excess energy over the best structure of this formula in the dataset at 77 kJ/mol of formula units.

---

(4)
The following is a PBE-GGA calculation of crystalline FeBr3 at its relaxed geometry, from Alexandria.

a b c (Å): 9.285 9.285 3.328
angles (deg): 90.00 90.00 101.19
Last column: magnetic moment on the atom in μB.
Atoms (fractional coordinates):
Br 0.494 0.217 0.250  0.23
Br 0.844 0.156 0.250  0.23
Br 0.783 0.506 0.250  0.23
Br 0.506 0.783 0.750  0.23
Br 0.156 0.844 0.750  0.23
Br 0.217 0.494 0.750  0.23
Fe 0.707 0.293 0.750  3.64
Fe 0.293 0.707 0.250  3.64

As for the total energy: -3.7067 eV/atom. The calculation puts the total magnetization at 4.7 μB per formula unit.

---

(5)
The following is a PBE-GGA calculation of crystalline FeCoAg at its relaxed geometry, from Alexandria.

a b c (Å): 4.062 4.062 4.062
angles (deg): 60.00 60.00 60.00
Last column: magnetic moment on the atom in μB.
Atoms (fractional coordinates):
Ag 0.500 0.500 0.500  0.01
Co 0.750 0.750 0.750  1.48
Fe 0.000 0.000 0.000  2.82

As for the energy relative to the elements: 0.72 eV/atom. As for the total energy: -5.4176 eV/atom. The calculation puts the total magnetization at 4.3 μB per formula unit. The calculation puts the excess energy over the best structure of this formula in the dataset at 135 kJ/mol of formula units.

---

(6)
The following is a PBE-GGA calculation of crystalline Tb2Dy5HoTh at its relaxed geometry, from Alexandria.

a b c (Å): 5.691 11.118 9.688
angles (deg): 90.00 90.00 104.83
Atoms (fractional coordinates):
Th 0.405 0.809 0.424
Th 0.595 0.191 0.924
Tb 0.885 0.770 0.828
Tb 0.870 0.741 0.211
Tb 0.115 0.230 0.328
Tb 0.130 0.259 0.711
Dy 0.305 0.609 0.717
Dy 0.602 0.204 0.542
Dy 0.398 0.796 0.042
Dy 0.531 0.061 0.243
Dy 0.271 0.542 0.325
Dy 0.695 0.391 0.217
Dy 0.469 0.939 0.743
Dy 0.729 0.458 0.825
Dy 0.985 0.971 0.517
Dy 0.015 0.029 0.017
Ho 0.190 0.380 0.017
Ho 0.810 0.620 0.517

As for the energy relative to the elements: 0.16 eV/atom. As for the total energy: -4.7572 eV/atom. The calculation puts the total magnetization at 0.0 μB per formula unit.

---

(7)
The following is a PBE-GGA calculation of crystalline SrScNb2O8 at its relaxed geometry, from Alexandria.

a b c (Å): 5.454 5.454 6.606
angles (deg): 90.00 90.00 120.00
Last column: magnetic moment on the atom in μB.
Atoms (fractional coordinates):
O 0.959 0.647 0.855  0.09
O 0.312 0.959 0.145  0.09
O 0.667 0.333 0.390  0.22
O 0.333 0.667 0.610  0.22
O 0.688 0.041 0.855  0.09
O 0.647 0.688 0.145  0.09
O 0.353 0.312 0.855  0.09
O 0.041 0.353 0.145  0.09
Nb 0.667 0.333 0.109  -0.05
Nb 0.333 0.667 0.891  -0.05
Sr 0.000 0.000 0.500  0.00
Sc 0.000 0.000 0.000  -0.01

As for the total energy: -8.1146 eV/atom. The calculation puts the total magnetization at 1.0 μB per formula unit.

---

(8)
The following is a PBE-GGA calculation of crystalline KNaCd3 at its relaxed geometry, from Alexandria.

a b c (Å): 6.352 6.352 6.352
angles (deg): 90.00 90.00 90.00
Atoms (fractional coordinates):
Cd 0.500 0.000 0.000
Cd 0.000 0.000 0.500
Cd 0.000 0.500 0.000
Na 0.500 0.500 0.500
K 0.000 0.000 0.000

As for the energy relative to the elements: 0.43 eV/atom. As for the total energy: -0.5999 eV/atom. The calculation puts the total magnetization at 0.0 μB per formula unit. The calculation puts the excess energy over the best structure of this formula in the dataset at 231 kJ/mol of formula units.

---

(9)
The following is a PBE-GGA calculation of crystalline YHo4Sc at its relaxed geometry, from Alexandria.

a b c (Å): 3.430 5.857 9.936
angles (deg): 86.38 80.06 72.97
Atoms (fractional coordinates):
Ho 0.345 0.461 0.849
Ho 0.655 0.539 0.151
Ho 0.155 0.029 0.661
Ho 0.845 0.971 0.339
Y 0.500 0.500 0.500
Sc 0.000 0.000 0.000

As for the energy relative to the elements: 0.20 eV/atom. As for the total energy: -4.9852 eV/atom. The calculation puts the total magnetization at 0.0 μB per formula unit. The calculation puts the excess energy over the best structure of this formula in the dataset at 105 kJ/mol of formula units.

---

(10)
The following is a PBE-GGA calculation of crystalline MnFe2Rh at its relaxed geometry, from Alexandria.

a b c (Å): 2.586 2.586 8.200
angles (deg): 90.00 90.00 113.03
Last column: magnetic moment on the atom in μB.
Atoms (fractional coordinates):
Fe 0.500 0.500 0.250  2.24
Fe 0.000 0.000 0.012  2.67
Mn 0.000 0.000 0.490  2.35
Rh 0.500 0.500 0.749  0.43

As for the energy relative to the elements: 0.13 eV/atom. As for the total energy: -8.2315 eV/atom. The calculation puts the total magnetization at 7.7 μB per formula unit.

---

(11)
The following is a PBE-GGA calculation of crystalline In2NiPbSe at its relaxed geometry, from Alexandria.

a b c (Å): 4.978 4.978 5.128
angles (deg): 90.00 90.00 90.00
Atoms (fractional coordinates):
Se 0.500 0.500 0.500
In 0.000 0.500 0.000
In 0.500 0.000 0.000
Pb 0.000 0.000 0.500
Ni 0.000 0.000 0.000

As for the total energy: -3.8169 eV/atom. The calculation puts the total magnetization at 0.0 μB per formula unit.

---

(12)
The following is a PBE-GGA calculation of crystalline Rb2SrScN at its relaxed geometry, from Alexandria.

a b c (Å): 7.686 4.399 7.686
angles (deg): 90.00 90.00 90.00
Last column: magnetic moment on the atom in μB.
Atoms (fractional coordinates):
N 0.000 0.500 0.000  -0.23
Sc 0.500 0.500 0.500  0.91
Sr 0.000 0.000 0.000  -0.04
Rb 0.500 0.000 0.000  0.02
Rb 0.000 0.000 0.500  0.02

As for the total energy: -2.7275 eV/atom. The calculation puts the total magnetization at 1.5 μB per formula unit.

---

(13)
The following is a PBE-GGA calculation of crystalline FeReB at its relaxed geometry, from Alexandria.

a b c (Å): 4.409 4.370 4.370
angles (deg): 61.53 74.97 105.03
Last column: magnetic moment on the atom in μB.
Atoms (fractional coordinates):
Fe 0.500 0.328 0.828  1.99
Fe 0.500 0.672 0.172  1.99
Re 0.831 0.165 0.335  -0.06
Re 0.169 0.835 0.665  -0.06
B 0.000 0.250 0.750  -0.04
B 0.000 0.750 0.250  -0.04

As for the energy relative to the elements: -0.19 eV/atom. As for the total energy: -9.3907 eV/atom. The calculation puts the total magnetization at 1.9 μB per formula unit.

---

(14)
The following is a PBE-GGA calculation of crystalline Er4ZnSe3 at its relaxed geometry, from Alexandria.

a b c (Å): 3.953 7.107 7.107
angles (deg): 108.27 90.00 90.00
Atoms (fractional coordinates):
Se 0.500 0.500 0.500
Se 0.000 0.000 0.500
Se 0.000 0.500 0.000
Zn 0.500 0.000 0.000
Er 0.500 0.244 0.756
Er 0.000 0.243 0.243
Er 0.500 0.756 0.244
Er 0.000 0.757 0.757

As for the total energy: -5.1120 eV/atom. The calculation puts the total magnetization at 0.0 μB per formula unit.

---

(15)
The following is a PBE-GGA calculation of crystalline ReAs2W at its relaxed geometry, from Alexandria.

a b c (Å): 2.991 2.991 8.208
angles (deg): 90.00 90.00 117.98
Atoms (fractional coordinates):
As 0.000 0.000 0.497
As 0.000 0.000 0.003
Re 0.500 0.500 0.250
W 0.500 0.500 0.750

As for the energy relative to the elements: 0.68 eV/atom. As for the total energy: -7.9963 eV/atom. The calculation puts the total magnetization at 0.0 μB per formula unit. The calculation puts the excess energy over the best structure of this formula in the dataset at 216 kJ/mol of formula units.

---

(16)
The following is a PBE-GGA calculation of crystalline RbAs at its relaxed geometry, from Alexandria.

a b c (Å): 6.126 6.126 7.146
angles (deg): 90.00 90.00 120.00
Last column: magnetic moment on the atom in μB.
Atoms (fractional coordinates):
As 0.333 0.667 0.250  0.80
As 0.667 0.333 0.750  0.80
Rb 0.667 0.333 0.250  0.03
Rb 0.333 0.667 0.750  0.03

As for the energy relative to the elements: 0.47 eV/atom. As for the total energy: -2.3342 eV/atom. The calculation puts the total magnetization at 2.0 μB per formula unit. The calculation puts the excess energy over the best structure of this formula in the dataset at 175 kJ/mol of formula units.

---

(17)
The following is a PBE-GGA calculation of crystalline Mg2TaCr at its relaxed geometry, from Alexandria.

a b c (Å): 10.021 10.021 10.021
angles (deg): 16.33 16.33 16.33
Last column: magnetic moment on the atom in μB.
Atoms (fractional coordinates):
Mg 0.006 0.006 0.006  -0.01
Mg 0.494 0.494 0.494  -0.01
Cr 0.750 0.750 0.750  0.62
Ta 0.250 0.250 0.250  -0.05

As for the energy relative to the elements: 0.53 eV/atom. As for the total energy: -5.6364 eV/atom. The calculation puts the total magnetization at 0.6 μB per formula unit. The calculation puts the excess energy over the best structure of this formula in the dataset at 99 kJ/mol of formula units.

---

(18)
The following is a PBE-GGA calculation of crystalline Cs3ZrCr2Te6 at its relaxed geometry, from Alexandria.

a b c (Å): 7.450 7.450 9.041
angles (deg): 97.91 97.91 119.98
Last column: magnetic moment on the atom in μB.
Atoms (fractional coordinates):
Te 0.599 0.943 0.829  -0.09
Te 0.288 0.288 0.830  -0.09
Te 0.943 0.599 0.829  -0.09
Te 0.712 0.712 0.170  -0.09
Te 0.057 0.401 0.171  -0.09
Te 0.401 0.057 0.171  -0.09
Cs 0.837 0.163 0.500  0.00
Cs 0.500 0.500 0.500  0.00
Cs 0.163 0.837 0.500  0.00
Zr 0.000 0.000 0.000  0.30
Cr 0.333 0.667 0.000  3.35
Cr 0.667 0.333 0.000  3.35

As for the total energy: -4.7466 eV/atom. The calculation puts the total magnetization at 7.0 μB per formula unit.